# 1
## Tm3TeH (GGA-PBE)

Data for a relaxed Tm3TeH crystal.

a b c (Å): 3.7469 6.5648 9.3071
angles (deg): 95.28 90.00 90.00
With the nearest neighbours (Å) after each atom.
Fractional positions:
Tm: 0.7500 0.1911 0.9094  1 H 2.33
Te: 0.7500 0.6711 0.8390  8 Tm 3.07-3.42
Tm: 0.7500 0.6144 0.3605  2 H 2.45
Tm: 0.2500 0.8984 0.6264  3 H 2.49-2.64
Te: 0.2500 0.3289 0.1610  8 Tm 3.07-3.42
H: 0.7500 0.1488 0.6579  5 Tm 2.33-2.49
H: 0.2500 0.8512 0.3421  5 Tm 2.33-2.49
Tm: 0.7500 0.1016 0.3736  3 H 2.49-2.64
Tm: 0.2500 0.3856 0.6395  2 H 2.45
Tm: 0.2500 0.8089 0.0906  1 H 2.33

Computed properties:
Its space-group type is P2_1/m (11).

***

# 2
## Tm4Te3H (GGA-PBE)

Data for a relaxed Tm4Te3H crystal.

a b c (Å): 5.9996 8.0614 9.3534
angles (deg): 90.00 90.00 90.00
With the nearest neighbours (Å) after each atom.
Fractional positions:
Te: 0.0869 0.6395 0.2581  5 Tm 2.96-3.16
Tm: 0.0842 0.8764 0.0000  1 H 2.25
Tm: 0.5856 0.7433 0.6897  1 H 2.25
Te: 0.0869 0.6395 0.7419  5 Tm 2.96-3.16
Te: 0.5869 0.3605 0.7581  5 Tm 2.96-3.16
Tm: 0.5856 0.7433 0.3103  1 H 2.25
Tm: 0.5842 0.1236 0.5000  1 H 2.25
Tm: 0.5699 0.1245 0.0000  1 H 2.15
Te: 0.0873 0.2401 0.5000  5 Tm 2.91-3.16
Te: 0.5873 0.7599 0.0000  5 Tm 2.91-3.16
Tm: 0.0856 0.2567 0.1897  1 H 2.25
Tm: 0.0699 0.8755 0.5000  1 H 2.15
Te: 0.5869 0.3605 0.2419  5 Tm 2.96-3.16
Tm: 0.0856 0.2567 0.8103  1 H 2.25
H: 0.4289 0.8690 0.5000  4 Tm 2.15-2.25
H: 0.9289 0.1310 0.0000  4 Tm 2.15-2.25

Computed properties:
Its space-group type is Pmn2_1 (31).

***

# 3
## Tm2Te3H (GGA-PBE)

Data for a relaxed Tm2Te3H crystal.

a b c (Å): 4.6511 8.2100 10.5918
angles (deg): 68.14 77.32 73.55
With the nearest neighbours (Å) after each atom.
Fractional positions:
Te: 0.7807 0.8202 0.6185  4 Tm 2.98-3.30
Tm: 0.8530 0.4589 0.8351  5 Te 2.96-3.07, 2 H 3.19
Tm: 0.5957 0.2602 0.5485  2 H 2.14-2.15
H: 0.5533 0.5110 0.3824  2 Tm 2.14-2.15, 1 H 2.38
Te: 0.0597 0.1370 0.7435  3 Tm 2.98-3.02
Te: 0.3601 0.2780 0.0019  3 Tm 2.96-3.07
Tm: 0.4043 0.7398 0.4515  2 H 2.14-2.15
H: 0.4467 0.4890 0.6176  2 Tm 2.14-2.15, 1 H 2.38
Tm: 0.1470 0.5411 0.1649  5 Te 2.96-3.07, 2 H 3.19
Te: 0.2193 0.1798 0.3815  4 Tm 2.98-3.30
Te: 0.9403 0.8630 0.2565  3 Tm 2.98-3.02
Te: 0.6399 0.7220 0.9981  3 Tm 2.96-3.07

Computed properties:
Its space-group type is C2/m (12).

***

# 4
## Tm2Te2H (GGA-PBE)

Data for a relaxed Tm2Te2H crystal.

a b c (Å): 3.8961 5.7205 11.3185
angles (deg): 90.00 90.00 109.91
With the nearest neighbours (Å) after each atom.
Fractional positions:
Tm: 0.7761 0.5523 0.6369  2 H 2.70, 2 Te 3.00
Tm: 0.0561 0.1122 0.8862  2 H 2.46
Te: 0.6651 0.3303 0.3437  5 Tm 3.04-3.11, 2 H 3.36
Tm: 0.9439 0.8878 0.3862  2 H 2.46
H: 0.6356 0.2712 0.9945  4 Tm 2.46-2.70
Te: 0.3349 0.6697 0.8437  5 Tm 3.04-3.11, 2 H 3.36
Tm: 0.2239 0.4477 0.1369  2 H 2.70, 2 Te 3.00
H: 0.3644 0.7288 0.4945  4 Tm 2.46-2.70
Te: 0.9356 0.8712 0.1240  5 Tm 2.97-3.10, 2 H 3.25
Te: 0.0644 0.1288 0.6240  5 Tm 2.97-3.10, 2 H 3.25

Computed properties:
Its space-group type is Cmc2_1 (36).

***

# 5
## Tm4Te5H (GGA-PBE)

Data for a relaxed Tm4Te5H crystal.

a b c (Å): 4.3307 11.5350 8.0066
angles (deg): 107.37 105.69 90.00
With the nearest neighbours (Å) after each atom.
Fractional positions:
Te: 0.8522 0.1114 0.7043  4 Tm 2.90-3.14
Tm: 0.0090 0.3296 0.0180  4 Te 2.87-2.96
Tm: 0.3585 0.9249 0.7169  1 H 2.08
Te: 0.1751 0.2660 0.3501  3 Tm 2.87-3.02
Te: 0.8249 0.7340 0.6499  3 Tm 2.87-3.02
Te: 0.5000 0.5000 0.0000  4 Tm 2.96
Tm: 0.6415 0.0751 0.2831  1 H 2.08
H: 0.5000 0.0000 0.0000  2 Tm 2.08
Tm: 0.9910 0.6704 0.9820  4 Te 2.87-2.96
Te: 0.1478 0.8886 0.2957  4 Tm 2.90-3.14

Computed properties:
Its space-group type is C2/m (12).

***

# 6
## U2TeH3 (GGA-PBE)

Data for a relaxed U2TeH3 crystal.

a b c (Å): 3.8454 7.8324 7.8273
angles (deg): 53.81 75.78 75.79
With the nearest neighbours (Å) after each atom.
Fractional positions:
U: 0.4999 0.1736 0.8266  4 H 2.14-2.29
Te: 0.1624 0.8381 0.8370  8 H 3.00-3.30, 6 U 3.16-3.23
H: 0.0000 0.6513 0.3487  1 H 2.14, 4 U 2.22-2.29
U: 0.5001 0.8264 0.1734  4 H 2.14-2.29
H: 0.6268 0.2299 0.5166  1 H 2.04, 3 U 2.14-2.19
U: 0.1445 0.3557 0.3553  6 H 2.19-2.22
U: 0.8555 0.6443 0.6447  6 H 2.19-2.22
H: 0.6271 0.5169 0.2289  1 H 2.04, 3 U 2.14-2.19
Te: 0.8376 0.1619 0.1630  8 H 3.00-3.30, 6 U 3.16-3.23
H: 0.3729 0.4831 0.7711  1 H 2.04, 3 U 2.14-2.19
H: 0.3732 0.7701 0.4834  1 H 2.04, 3 U 2.14-2.19
H: 0.0000 0.3487 0.6513  1 H 2.14, 4 U 2.22-2.29

Computed properties:
Its space-group type is C2/m (12).

***

# 7
## U2Te3H4 (GGA-PBE)

Data for a relaxed U2Te3H4 crystal.

a b c (Å): 3.7500 5.2625 7.9432
angles (deg): 97.82 90.00 110.87
With the nearest neighbours (Å) after each atom.
Fractional positions:
H: 0.1146 0.2292 0.6892  2 U 2.14, 1 H 2.23
Te: 0.6224 0.2448 0.3806  4 H 2.72-2.98
Te: 0.3776 0.7552 0.6194  4 H 2.72-2.98
U: 0.3123 0.6245 0.2048  5 H 2.14-2.23
H: 0.8854 0.7708 0.3108  2 U 2.14, 1 H 2.23
H: 0.2669 0.5337 0.9261  3 U 2.19-2.23, 3 H 2.23-2.26
U: 0.6877 0.3755 0.7952  5 H 2.14-2.23
H: 0.7331 0.4663 0.0739  3 U 2.19-2.23, 3 H 2.23-2.26
Te: 0.0000 0.0000 0.0000  8 H 2.77-2.95

Computed properties:
Its space-group type is C2/m (12).

***

# 8
## UTe2H (GGA-PBE)

Data for a relaxed UTe2H crystal.

a b c (Å): 4.2466 4.2466 8.0246
angles (deg): 74.66 74.66 60.00
With the nearest neighbours (Å) after each atom.
Fractional positions:
Te: 0.0853 0.0853 0.7441  1 H 1.96
U: 0.5000 0.5000 0.5000  6 Te 3.08
Te: 0.9147 0.9147 0.2559  1 H 1.96
H: 0.0000 0.0000 0.0000  2 Te 1.96

Computed properties:
Its space-group type is R-3m (166).

***

# 9
## UTe2H (GGA-PBE)

Data for a relaxed UTe2H crystal.

a b c (Å): 3.9455 3.9455 7.7703
angles (deg): 75.87 75.87 60.01
With the nearest neighbours (Å) after each atom.
Fractional positions:
Te: 0.2115 0.2115 0.3553  3 U 3.04, 3 H 3.04
Te: 0.0383 0.0383 0.8949  3 H 3.04, 3 U 3.04
U: 0.4584 0.4584 0.6248  3 H 2.28
H: 0.7918 0.7918 0.6250  3 U 2.28

Computed properties:
Its space-group type is Cm (8).

***

# 10
## UTe2H (GGA-PBE)

Data for a relaxed UTe2H crystal.

a b c (Å): 4.0431 3.9638 5.8675
angles (deg): 109.72 110.13 90.01
With the nearest neighbours (Å) after each atom.
Fractional positions:
U: 0.5000 0.5090 0.0000  2 H 1.98
Te: 0.8423 0.8510 0.6844  2 H 2.59
H: 0.5000 0.0090 0.0000  2 U 1.98
Te: 0.1577 0.1670 0.3156  2 H 2.59

Computed properties:
Its space-group type is Immm (71).

***

# 11
## U2Te3H2 (GGA-PBE)

Data for a relaxed U2Te3H2 crystal.

a b c (Å): 5.7376 7.4505 13.4463
angles (deg): 90.00 90.00 90.00
With the nearest neighbours (Å) after each atom.
Fractional positions:
Te: 0.1266 0.3910 0.5958  4 H 2.92-3.18, 3 U 3.01-3.22
U: 0.3921 0.7500 0.5000  4 H 2.33-2.34
Te: 0.8734 0.8910 0.5958  4 H 2.92-3.18, 3 U 3.01-3.22
U: 0.6079 0.2500 0.0000  4 H 2.33-2.34
H: 0.6022 0.9723 0.4180  2 U 2.33-2.34, 1 H 2.53
Te: 0.6311 0.2338 0.7500  3 U 2.97-3.13, 4 H 3.04-3.15
H: 0.6022 0.9723 0.0820  2 U 2.33-2.34, 1 H 2.53
H: 0.3978 0.4723 0.4180  2 U 2.33-2.34, 1 H 2.53
Te: 0.1266 0.3910 0.9042  4 H 2.92-3.18, 3 U 3.01-3.22
Te: 0.6311 0.2662 0.2500  3 U 2.97-3.13, 4 H 3.04-3.15
Te: 0.3689 0.7338 0.7500  3 U 2.97-3.13, 4 H 3.04-3.15
H: 0.6022 0.5277 0.9180  2 U 2.33-2.34, 1 H 2.53
U: 0.6079 0.2500 0.5000  4 H 2.33-2.34
H: 0.3978 0.4723 0.0820  2 U 2.33-2.34, 1 H 2.53
Te: 0.8734 0.6090 0.0958  4 H 2.92-3.18, 3 U 3.01-3.22
Te: 0.3689 0.7662 0.2500  3 U 2.97-3.13, 4 H 3.04-3.15
Te: 0.1266 0.1090 0.0958  4 H 2.92-3.18, 3 U 3.01-3.22
U: 0.8540 0.9060 0.2500  2 H 2.73, 6 Te 2.97-3.03
Te: 0.8734 0.8910 0.9042  4 H 2.92-3.18, 3 U 3.01-3.22
Te: 0.8734 0.6090 0.4042  4 H 2.92-3.18, 3 U 3.01-3.22
U: 0.8540 0.5940 0.7500  2 H 2.73, 6 Te 2.97-3.03
U: 0.3921 0.7500 0.0000  4 H 2.33-2.34
H: 0.6022 0.5277 0.5820  2 U 2.33-2.34, 1 H 2.53
H: 0.3978 0.0277 0.5820  2 U 2.33-2.34, 1 H 2.53
Te: 0.1266 0.1090 0.4042  4 H 2.92-3.18, 3 U 3.01-3.22
H: 0.3978 0.0277 0.9180  2 U 2.33-2.34, 1 H 2.53
U: 0.1460 0.0940 0.7500  2 H 2.73, 6 Te 2.97-3.03
U: 0.1460 0.4060 0.2500  2 H 2.73, 6 Te 2.97-3.03

Computed properties:
Its space-group type is Pbcm (57).

***

# 12
## V2TeH2 (GGA-PBE)

Data for a relaxed V2TeH2 crystal.

a b c (Å): 3.1922 3.1922 5.7741
angles (deg): 73.95 73.95 90.00
With the nearest neighbours (Å) after each atom.
Fractional positions:
H: 0.2500 0.7500 0.5000  4 V 1.88
H: 0.7500 0.2500 0.5000  4 V 1.88
Te: 0.0000 0.0000 0.0000  8 V 2.80, 8 H 3.10
V: 0.6557 0.6557 0.6886  4 H 1.88
V: 0.3443 0.3443 0.3114  4 H 1.88

Computed properties:
Its space-group type is I4/mmm (139).

***

# 13
## VTe3H (GGA-PBE)

Data for a relaxed VTe3H crystal.

a b c (Å): 5.2322 5.2322 5.2322
angles (deg): 90.00 90.00 90.00
With the nearest neighbours (Å) after each atom.
Fractional positions:
Te: 0.5000 0.0000 0.0000  2 V 2.62
Te: 0.0000 0.5000 0.0000  2 V 2.62
Te: 0.0000 0.0000 0.5000  2 V 2.62
V: 0.0000 0.0000 0.0000  6 Te 2.62
H: 0.5000 0.5000 0.5000  12 Te 3.70

Computed properties:
Its space-group type is Pm-3m (221).

***

# 14
## VTe3H (GGA-PBE)

Data for a relaxed VTe3H crystal.

a b c (Å): 4.7214 4.7214 4.7214
angles (deg): 90.00 90.00 90.00
With the nearest neighbours (Å) after each atom.
Fractional positions:
Te: 0.5000 0.0000 0.0000  2 H 2.36
V: 0.5000 0.5000 0.5000  12 Te 3.34
Te: 0.0000 0.0000 0.5000  2 H 2.36
H: 0.0000 0.0000 0.0000  6 Te 2.36
Te: 0.0000 0.5000 0.0000  2 H 2.36

Computed properties:
Its space-group type is Pm-3m (221).

***

# 15
## V2TeH (GGA-PBE)

Data for a relaxed V2TeH crystal.

a b c (Å): 4.5247 4.5247 4.8451
angles (deg): 62.16 62.16 60.00
With the nearest neighbours (Å) after each atom.
Fractional positions:
V: 0.1389 0.1389 0.5834  1 H 1.70
V: 0.8611 0.8611 0.4166  1 H 1.70
H: 0.0000 0.0000 0.0000  2 V 1.70
Te: 0.5000 0.5000 0.5000  6 V 2.63

Computed properties:
Its space-group type is R-3m (166).

***

# 16
## V2TeH (GGA-PBE)

Data for a relaxed V2TeH crystal.

a b c (Å): 4.3695 4.3695 4.3695
angles (deg): 60.00 60.00 60.00
With the nearest neighbours (Å) after each atom.
Fractional positions:
Te: 0.5000 0.5000 0.5000  8 V 2.68
H: 0.0000 0.0000 0.0000  8 V 2.68
V: 0.2500 0.2500 0.2500  4 Te 2.68, 4 H 2.68
V: 0.7500 0.7500 0.7500  4 Te 2.68, 4 H 2.68

Computed properties:
Its space-group type is Fm-3m (225).

***

# 17
## VTeH3 (GGA-PBE)

Data for a relaxed VTeH3 crystal.

a b c (Å): 4.0258 4.0258 4.0258
angles (deg): 90.00 90.00 90.00
With the nearest neighbours (Å) after each atom.
Fractional positions:
H: 0.0000 0.5000 0.0000  2 Te 2.01
V: 0.5000 0.5000 0.5000  12 H 2.85
Te: 0.0000 0.0000 0.0000  6 H 2.01
H: 0.5000 0.0000 0.0000  2 Te 2.01
H: 0.0000 0.0000 0.5000  2 Te 2.01

Computed properties:
Its space-group type is Pm-3m (221).

***

# 18
## VTeH3 (GGA-PBE)

Data for a relaxed VTeH3 crystal.

a b c (Å): 3.6678 3.6678 3.6678
angles (deg): 90.00 90.00 90.00
With the nearest neighbours (Å) after each atom.
Fractional positions:
Te: 0.5000 0.5000 0.5000  12 H 2.59
H: 0.0000 0.0000 0.5000  2 V 1.83
H: 0.5000 0.0000 0.0000  2 V 1.83
H: 0.0000 0.5000 0.0000  2 V 1.83
V: 0.0000 0.0000 0.0000  6 H 1.83

Computed properties:
Its space-group type is Pm-3m (221).

***

# 19
## VTe3H (GGA-PBE)

Data for a relaxed VTe3H crystal.

a b c (Å): 6.8303 6.5988 7.3962
angles (deg): 61.25 60.44 59.99
With the nearest neighbours (Å) after each atom.
Fractional positions:
Te: 0.9088 0.2800 0.2390  1 H 1.72
Te: 0.0912 0.7200 0.7610  1 H 1.72
Te: 0.4516 0.1137 0.7190  2 V 2.63-2.64, 1 H 2.94
H: 0.0652 0.9625 0.8105  1 Te 1.72
V: 0.3860 0.3024 0.9962  6 Te 2.59-2.88
Te: 0.7580 0.4365 0.7474  2 V 2.59-2.67, 1 H 2.72
Te: 0.2420 0.5635 0.2526  2 V 2.59-2.67, 1 H 2.72
V: 0.6140 0.6976 0.0038  6 Te 2.59-2.88
H: 0.9348 0.0375 0.1895  1 Te 1.72
Te: 0.5484 0.8863 0.2810  2 V 2.63-2.64, 1 H 2.94

Computed properties:
Its space-group type is P-1 (2).

***

# 20
## V2TeH (GGA-PBE)

Data for a relaxed V2TeH crystal.

a b c (Å): 4.6293 4.6293 6.2631
angles (deg): 68.31 68.31 90.00
With the nearest neighbours (Å) after each atom.
Fractional positions:
V: 0.3750 0.6250 0.2500  2 H 1.77
V: 0.3750 0.1250 0.2500  2 H 1.77
V: 0.8750 0.6250 0.7500  2 H 1.77
V: 0.3750 0.6250 0.7500  2 H 1.77
H: 0.5000 0.5000 0.0000  4 V 1.77
Te: 0.0000 0.0000 0.0000  8 V 2.91
H: 0.2500 0.7500 0.5000  4 V 1.77
Te: 0.7500 0.2500 0.5000  8 V 2.91

Computed properties:
Its space-group type is I4_1/amd (141).

***

Number 1: total energy -4.5775 eV per atom, total moment 0.000 μB per atom. Number 2: total energy -4.6747 eV per atom, total moment 0.000 μB per atom. Number 3: total energy -4.4858 eV per atom, total moment 0.000 μB per atom. Number 4: total energy -4.6604 eV per atom, total moment 0.000 μB per atom. Number 5: total energy -4.7067 eV per atom, total moment 0.000 μB per atom. Number 6: total energy -6.2647 eV per atom, total moment 0.604 μB per atom. Number 7: total energy -5.3932 eV per atom, total moment 0.235 μB per atom. Number 8: total energy -5.4407 eV per atom, total moment 0.739 μB per atom. Number 9: total energy -5.7645 eV per atom, total moment 0.250 μB per atom. Number 10: total energy -5.6079 eV per atom, total moment 0.330 μB per atom. Number 11: total energy -5.9717 eV per atom, total moment 0.571 μB per atom. Number 12: total energy -5.6475 eV per atom, total moment 0.000 μB per atom. Number 13: total energy -3.8044 eV per atom, total moment 0.272 μB per atom. Number 14: total energy -3.6404 eV per atom, total moment 0.620 μB per atom. Number 15: total energy -5.7786 eV per atom, total moment 0.218 μB per atom. Number 16: total energy -5.6051 eV per atom, total moment 0.793 μB per atom. Number 17: total energy -3.3132 eV per atom, total moment 0.814 μB per atom. Number 18: total energy -4.0912 eV per atom, total moment 0.290 μB per atom. Number 19: total energy -4.4225 eV per atom, total moment 0.093 μB per atom. Number 20: total energy -6.0816 eV per atom, total moment 0.000 μB per atom.